18
Lattice="6.7240 0.0000 -0.5545 0.0000 7.0602 0.0000 0.0697 0.0000 9.8285" Properties=species:S:1:pos:R:3 comment="GGA-PBE Na2WCl6, optimized geometry" n_ef_per_ev_cell=14.0 total_magnetization_mub_per_fu=2.00 e_above_lowest_polymorph_ev_per_atom=0.0000 formation_energy_uncorrected_ev_per_atom=-1.236 pbc="T T T"
Na 6.5069 2.8391 7.1144
Na 3.6837 6.3692 6.7964
Na 3.1100 0.6910 2.4775
Na 0.2868 4.2211 2.1595
W 3.3620 3.5301 -0.2773
W 0.0349 0.0000 4.9142
Cl 5.7692 6.7436 2.2073
Cl 5.6976 5.0690 5.1341
Cl 5.3469 4.8226 8.8266
Cl 4.8437 1.2925 5.0843
Cl 4.4930 1.5389 8.7768
Cl 4.3517 3.2135 1.8751
Cl 1.0246 0.3166 7.0666
Cl 1.0961 1.9912 4.1398
Cl 1.4469 2.2376 0.4473
Cl 1.9500 5.7677 4.1897
Cl 2.3008 5.5213 0.4972
Cl 2.4420 3.8467 7.3988


18
Lattice="-3.5579 -0.8430 4.2792 0.6903 -3.9864 -3.9131 6.6655 -3.5915 4.8345" Properties=species:S:1:pos:R:3 comment="GGA-PBE YTlPtO6, optimized geometry" n_ef_per_ev_cell=12.6 total_magnetization_mub_per_fu=0.00 formation_energy_uncorrected_ev_per_atom=-1.167 pbc="T T T"
Y 0.9406 -3.8365 0.0263
Y 2.8572 -4.5844 5.1743
Tl 0.0000 0.0000 0.0000
Tl 3.3327 -1.7957 2.4173
Pt -0.4755 -2.7887 2.7570
Pt 4.2733 -5.6322 2.4435
O -1.0700 -3.4945 0.9969
O -2.3478 -2.6263 3.4035
O 3.6311 -6.3801 0.7178
O 6.1456 -5.7946 1.7971
O 1.3807 -3.0164 2.0843
O -0.5115 -4.6356 3.4901
O 4.2689 -7.5025 3.1158
O 0.1667 -2.0408 4.4827
O 4.3092 -3.7853 1.7105
O -0.4711 -0.9184 2.0847
O 2.4171 -5.4045 3.1163
O 4.8678 -4.9265 4.2037


8
Lattice="-2.8740 -0.2484 -2.9721 -4.4808 -4.5554 1.8276 -5.6541 2.5690 2.3667" Properties=species:S:1:pos:R:3 comment="GGA-PBE LaZn5Ag2, optimized geometry" n_ef_per_ev_cell=3.6 formation_energy_ev_per_fu=-1.36 total_magnetization_mub_per_fu=0.00 pbc="T T T"
La 0.0000 0.0000 0.0000
Zn -5.0674 -0.9932 2.0972
Zn -5.3472 -2.2134 -0.4163
Zn -7.6617 -0.0215 1.6386
Zn -7.2266 -2.6633 1.4387
Zn -5.7823 0.4284 -0.2164
Ag -9.7567 -1.6762 0.9167
Ag -3.2522 -0.5587 0.3055


26
Lattice="4.1054 0.0000 0.0000 0.0000 5.5203 0.0000 0.0000 0.0000 10.9549" Properties=species:S:1:pos:R:3 comment="GGA-PBE U2NiB10, optimized geometry" n_ef_per_ev_cell=18.6 formation_energy_ev_per_fu=-5.55 total_magnetization_mub_per_fu=3.34 pbc="T T T"
U 2.0527 1.7629 9.4322
U 2.0527 3.7574 1.5228
U 2.0527 4.5230 7.0002
U 2.0527 0.9972 3.9547
Ni 0.0000 2.7601 5.4775
Ni 0.0000 0.0000 0.0000
B 0.0000 0.6996 5.8995
B 0.0000 4.8207 5.0554
B 0.0000 3.4597 10.5329
B 0.0000 2.0605 0.4221
B 0.0000 0.8734 7.6473
B 0.0000 4.6468 3.3077
B 1.2427 1.0949 1.2422
B 1.2427 4.4254 9.7127
B 2.8627 3.8550 4.2353
B 2.8627 1.6653 6.7197
B 2.8627 4.4254 9.7127
B 2.8627 1.0949 1.2422
B 1.2427 1.6653 6.7197
B 1.2427 3.8550 4.2353
B 0.0000 0.1459 2.0487
B 0.0000 5.3744 8.9062
B 0.0000 2.9060 3.4288
B 0.0000 2.6143 7.5262
B 0.0000 1.8867 2.1698
B 0.0000 3.6336 8.7852